Entry 1:
# La4PaAs6 (PBE, optimized geometry)
data_La4PaAs6
_chemical_formula_sum 'La24 Pa6 As36'
_symmetry_space_group_name_H-M 'R -3 c'
_symmetry_Int_Tables_number 167
_symmetry_space_group_name_Hall '-R 3 2"c'
_cell_length_a 11.8306
_cell_length_b 11.8306
_cell_length_c 15.1092
_cell_angle_alpha 90.00
_cell_angle_beta 90.00
_cell_angle_gamma 120.00
loop_
_atom_site_label
_atom_site_type_symbol
_atom_site_fract_x
_atom_site_fract_y
_atom_site_fract_z
La1 La 0.0000 0.0000 0.2500
La2 La 0.0000 0.3762 0.2500
Pa1 Pa 0.0000 0.0000 0.0000
As1 As 0.0235 0.2035 0.3903
# - crystal system = trigonal
# - E_form (kJ/mol of formula units) = -1349

***

Entry 2:
# Pr12Nd6Sm (PBE, optimized geometry)
data_Pr12Nd6Sm
_chemical_formula_sum 'Pr36 Nd18 Sm3'
_symmetry_space_group_name_H-M 'R -3 m'
_symmetry_Int_Tables_number 166
_symmetry_space_group_name_Hall '-R 3 2"'
_cell_length_a 16.4756
_cell_length_b 16.4756
_cell_length_c 9.2124
_cell_angle_alpha 90.00
_cell_angle_beta 90.00
_cell_angle_gamma 120.00
loop_
_atom_site_label
_atom_site_type_symbol
_atom_site_fract_x
_atom_site_fract_y
_atom_site_fract_z
Pr1 Pr 0.0000 0.3926 0.0000
Pr2 Pr 0.0854 0.1709 0.6713
Nd1 Nd 0.0798 0.5399 0.6819
Sm1 Sm 0.0000 0.0000 0.5000
# - crystal system = trigonal
# - E_form (kJ/mol of formula units) = 668
# - energy above the lowest structure with this stoichiometry (eV/f.u.) = 4.63

***

Entry 3:
# AgGePd5 (PBE, optimized geometry)
data_AgGePd5
_chemical_formula_sum 'Ag1 Ge1 Pd5'
_symmetry_space_group_name_H-M 'P 4/m m m'
_symmetry_Int_Tables_number 123
_symmetry_space_group_name_Hall '-P 4 2'
_cell_length_a 4.0510
_cell_length_b 4.0510
_cell_length_c 6.9691
_cell_angle_alpha 90.00
_cell_angle_beta 90.00
_cell_angle_gamma 90.00
loop_
_atom_site_label
_atom_site_type_symbol
_atom_site_fract_x
_atom_site_fract_y
_atom_site_fract_z
Ag1 Ag 0.0000 0.0000 0.0000
Ge1 Ge 0.5000 0.5000 0.5000
Pd1 Pd 0.0000 0.5000 0.2887
Pd2 Pd 0.5000 0.5000 0.0000
# - crystal system = tetragonal
# - E_form (kJ/mol of formula units) = -158
# - energy above the lowest structure with this stoichiometry (eV/f.u.) = 0.00

***

Entry 4:
# Tm8Sc3 (PBE, optimized geometry)
data_Tm8Sc3
_chemical_formula_sum 'Tm24 Sc9'
_symmetry_space_group_name_H-M 'R -3'
_symmetry_Int_Tables_number 148
_symmetry_space_group_name_Hall '-R 3'
_cell_length_a 9.2947
_cell_length_b 9.2947
_cell_length_c 13.0447
_cell_angle_alpha 90.00
_cell_angle_beta 90.00
_cell_angle_gamma 120.00
loop_
_atom_site_label
_atom_site_type_symbol
_atom_site_fract_x
_atom_site_fract_y
_atom_site_fract_z
Tm1 Tm 0.0000 0.0000 0.1203
Tm2 Tm 0.0409 0.2357 0.6130
Sc1 Sc 0.0000 0.5000 0.5000
# - crystal system = trigonal
# - E_form (kJ/mol of formula units) = 552
# - energy above the lowest structure with this stoichiometry (eV/f.u.) = 4.20

***

Entry 5:
# ZnCrRe2 (PBE, optimized geometry)
data_ZnCrRe2
_chemical_formula_sum 'Zn2 Cr2 Re4'
_symmetry_space_group_name_H-M 'C m m 2'
_symmetry_Int_Tables_number 35
_cell_length_a 2.9980
_cell_length_b 4.3664
_cell_length_c 8.7210
_cell_angle_alpha 90.00
_cell_angle_beta 90.00
_cell_angle_gamma 90.00
loop_
_symmetry_equiv_pos_as_xyz
'x,y,z'
'-x,-y,z'
'-x,y,z'
'x,-y,z'
'x+1/2,y+1/2,z'
'-x+1/2,-y+1/2,z'
'-x+1/2,y+1/2,z'
'x+1/2,-y+1/2,z'
loop_
_atom_site_label
_atom_site_type_symbol
_atom_site_fract_x
_atom_site_fract_y
_atom_site_fract_z
Zn1 Zn 0.0000 0.0000 0.0000
Cr1 Cr 0.0000 0.5000 0.7551
Re1 Re 0.0000 0.0000 0.5237
Re2 Re 0.0000 0.5000 0.2637
# - crystal system = orthorhombic
# - E_form (kJ/mol of formula units) = 95

***

Entry 6:
# LiTi3Pt4 (PBE, optimized geometry)
data_LiTi3Pt4
_chemical_formula_sum 'Li2 Ti6 Pt8'
_symmetry_space_group_name_H-M 'I 4/m m m'
_symmetry_Int_Tables_number 139
_symmetry_space_group_name_Hall '-I 4 2'
_cell_length_a 4.0350
_cell_length_b 4.0350
_cell_length_c 14.7194
_cell_angle_alpha 90.00
_cell_angle_beta 90.00
_cell_angle_gamma 90.00
loop_
_atom_site_label
_atom_site_type_symbol
_atom_site_fract_x
_atom_site_fract_y
_atom_site_fract_z
Li1 Li 0.0000 0.0000 0.0000
Ti1 Ti 0.0000 0.0000 0.2455
Ti2 Ti 0.0000 0.0000 0.5000
Pt1 Pt 0.0000 0.5000 0.1190
# - crystal system = tetragonal
# - E_form (kJ/mol of formula units) = -671

***

Entry 7:
# Sr4TbPa3N8 (PBE, optimized geometry)
data_Sr4TbPa3N8
_chemical_formula_sum 'Sr12 Tb3 Pa9 N24'
_symmetry_space_group_name_H-M 'R -3 m'
_symmetry_Int_Tables_number 166
_symmetry_space_group_name_Hall '-R 3 2"'
_cell_length_a 7.2108
_cell_length_b 7.2108
_cell_length_c 18.0219
_cell_angle_alpha 90.00
_cell_angle_beta 90.00
_cell_angle_gamma 120.00
loop_
_atom_site_label
_atom_site_type_symbol
_atom_site_fract_x
_atom_site_fract_y
_atom_site_fract_z
Sr1 Sr 0.0000 0.0000 0.0000
Sr2 Sr 0.0000 0.5000 0.0000
Tb1 Tb 0.0000 0.0000 0.5000
Pa1 Pa 0.0000 0.5000 0.5000
N1 N 0.0000 0.0000 0.2322
N2 N 0.0160 0.5080 0.7676
# - crystal system = trigonal

***

Entry 8:
# CuSi2Ru2 (PBE, optimized geometry)
data_CuSi2Ru2
_chemical_formula_sum 'Cu2 Si4 Ru4'
_symmetry_space_group_name_H-M 'I 4/m m m'
_symmetry_Int_Tables_number 139
_symmetry_space_group_name_Hall '-I 4 2'
_cell_length_a 3.4496
_cell_length_b 3.4496
_cell_length_c 11.9819
_cell_angle_alpha 90.00
_cell_angle_beta 90.00
_cell_angle_gamma 90.00
loop_
_atom_site_label
_atom_site_type_symbol
_atom_site_fract_x
_atom_site_fract_y
_atom_site_fract_z
Cu1 Cu 0.0000 0.0000 0.0000
Si1 Si 0.0000 0.5000 0.2500
Ru1 Ru 0.0000 0.0000 0.3897
# - crystal system = tetragonal
# - energy above the lowest structure with this stoichiometry (eV/f.u.) = 1.24

***

Entry 9:
# HgSe7 (PBE, optimized geometry)
data_HgSe7
_chemical_formula_sum 'Hg4 Se28'
_symmetry_space_group_name_H-M 'F m -3 m'
_symmetry_Int_Tables_number 225
_symmetry_space_group_name_Hall '-F 4 2 3'
_cell_length_a 8.8092
_cell_length_b 8.8092
_cell_length_c 8.8092
_cell_angle_alpha 90.00
_cell_angle_beta 90.00
_cell_angle_gamma 90.00
loop_
_atom_site_label
_atom_site_type_symbol
_atom_site_fract_x
_atom_site_fract_y
_atom_site_fract_z
Hg1 Hg 0.0000 0.0000 0.0000
Se1 Se 0.0000 0.0000 0.5000
Se2 Se 0.0000 0.2500 0.2500
# - crystal system = cubic

***

Entry 10:
# Ac2LaPb (PBE, optimized geometry)
data_Ac2LaPb
_chemical_formula_sum 'Ac8 La4 Pb4'
_symmetry_space_group_name_H-M 'C m c m'
_symmetry_Int_Tables_number 63
_symmetry_space_group_name_Hall '-C 2c 2'
_cell_length_a 3.8003
_cell_length_b 28.9408
_cell_length_c 5.9755
_cell_angle_alpha 90.00
_cell_angle_beta 90.00
_cell_angle_gamma 90.00
loop_
_atom_site_label
_atom_site_type_symbol
_atom_site_fract_x
_atom_site_fract_y
_atom_site_fract_z
Ac1 Ac 0.0000 0.0941 0.2500
Ac2 Ac 0.0000 0.1877 0.7500
La1 La 0.0000 0.0225 0.7500
Pb1 Pb 0.0000 0.3047 0.7500
# - crystal system = orthorhombic
# - E_form (kJ/mol of formula units) = -2
# - energy above the lowest structure with this stoichiometry (eV/f.u.) = 1.14

***

Entry 11:
# Pr6Pt2RhBr3 (PBE, optimized geometry)
data_Pr6Pt2RhBr3
_chemical_formula_sum 'Pr12 Pt4 Rh2 Br6'
_symmetry_space_group_name_H-M 'C 1 2/m 1'
_symmetry_Int_Tables_number 12
_cell_length_a 19.8568
_cell_length_b 4.2300
_cell_length_c 9.2164
_cell_angle_alpha 90.00
_cell_angle_beta 110.04
_cell_angle_gamma 90.00
loop_
_symmetry_equiv_pos_as_xyz
'x,y,z'
'-x,-y,-z'
'-x,y,-z'
'x,-y,z'
'x+1/2,y+1/2,z'
'-x+1/2,-y+1/2,-z'
'-x+1/2,y+1/2,-z'
'x+1/2,-y+1/2,z'
loop_
_atom_site_label
_atom_site_type_symbol
_atom_site_fract_x
_atom_site_fract_y
_atom_site_fract_z
Pr1 Pr 0.0107 0.0000 0.2173
Pr2 Pr 0.1519 0.5000 0.1087
Pr3 Pr 0.1771 0.5000 0.5557
Pt1 Pt 0.1667 0.0000 0.3341
Rh1 Rh 0.0000 0.5000 0.0000
Br1 Br 0.0000 0.5000 0.5000
Br2 Br 0.1664 0.0000 0.8316
# - crystal system = monoclinic

***

Entry 12:
# AcCu4Ni2 (PBE, optimized geometry)
data_AcCu4Ni2
_chemical_formula_sum 'Ac2 Cu8 Ni4'
_symmetry_space_group_name_H-M 'I 4/m m m'
_symmetry_Int_Tables_number 139
_symmetry_space_group_name_Hall '-I 4 2'
_cell_length_a 6.9347
_cell_length_b 6.9347
_cell_length_c 5.5391
_cell_angle_alpha 90.00
_cell_angle_beta 90.00
_cell_angle_gamma 90.00
loop_
_atom_site_label
_atom_site_type_symbol
_atom_site_fract_x
_atom_site_fract_y
_atom_site_fract_z
Ac1 Ac 0.0000 0.0000 0.0000
Cu1 Cu 0.0000 0.2350 0.5000
Ni1 Ni 0.0000 0.5000 0.2500
# - crystal system = tetragonal
# - E_form (kJ/mol of formula units) = 203
# - energy above the lowest structure with this stoichiometry (eV/f.u.) = 2.42

***

Uncorrected energy for the records above, in order: -6.46; -4.41; -5.01; -4.46; -8.70; -7.09; -8.02; -6.85; -2.42; -4.22; -5.61; -4.28 eV/atom